DFT (PBE) results for a relaxed Ta5Al3 crystal.

Unit cell a=7.755 b=7.755 c=7.757 alpha=96.32 beta=96.32 gamma=141.34
Sites, in units of the cell vectors:
1 Al 0.253 0.247 0.000
2 Ta 0.407 0.706 0.148
3 Ta 0.073 0.221 0.298
4 Ta 0.279 0.427 0.702
5 Al 0.333 0.166 0.500
6 Al 0.808 0.308 0.166
7 Al 0.747 0.753 0.000
8 Ta 0.721 0.573 0.298
9 Ta 0.244 0.745 0.489
10 Ta 0.926 0.779 0.702
11 Ta 0.755 0.255 0.511
12 Al 0.192 0.692 0.834
13 Ta 0.794 0.092 0.852
14 Ta 0.592 0.294 0.852
15 Al 0.666 0.834 0.500
16 Ta 0.205 0.908 0.148

Values from the calculation:
Magnetic moment: 0.00 μB/f.u.
E_form: -0.22 eV per atom
Volume: 17.2 A^3/atom
Relative energy among the computed polymorphs: 0 meV per atom

=====

DFT (PBE) results for a relaxed Ta13Al23 crystal.

Unit cell a=13.571 b=13.571 c=13.595 alpha=60.06 beta=60.06 gamma=60.00
Sites, in units of the cell vectors:
1 Ta 0.636 0.992 0.380
2 Ta 0.838 0.470 0.473
3 Ta 0.593 0.593 0.221
4 Al 0.662 0.338 0.661
5 Al 0.663 0.337 0.338
6 Al 0.606 0.606 0.985
7 Al 0.108 0.418 0.738
8 Al 0.046 0.234 0.864
9 Al 0.736 0.736 0.420
10 Al 0.234 0.046 0.864
11 Ta 0.626 0.997 0.998
12 Al 0.804 0.604 0.607
13 Al 0.046 0.857 0.864
14 Ta 0.626 0.380 0.998
15 Ta 0.470 0.838 0.473
16 Al 0.338 0.338 0.661
17 Al 0.858 0.858 0.235
18 Al 0.604 0.987 0.805
19 Al 0.233 0.922 0.236
20 Ta 0.470 0.218 0.473
21 Ta 0.999 0.999 0.002
22 Al 0.858 0.048 0.235
23 Al 0.048 0.858 0.235
24 Ta 0.592 0.221 0.594
25 Al 0.109 0.736 0.420
26 Ta 0.380 0.626 0.998
27 Al 0.663 0.663 0.338
28 Ta 0.843 0.843 0.846
29 Al 0.804 0.606 0.985
30 Al 0.737 0.737 0.108
31 Al 0.804 0.986 0.607
32 Ta 0.089 0.730 0.092
33 Al 0.233 0.914 0.621
34 Ta 0.471 0.218 0.839
35 Ta 0.997 0.380 0.998
36 Ta 0.468 0.843 0.846
37 Al 0.418 0.108 0.738
38 Al 0.857 0.046 0.864
39 Al 0.186 0.186 0.143
40 Ta 0.218 0.838 0.473
41 Ta 0.994 0.994 0.638
42 Al 0.101 0.403 0.395
43 Al 0.344 0.344 0.300
44 Ta 0.246 0.246 0.262
45 Al 0.610 0.233 0.236
46 Ta 0.730 0.089 0.092
47 Al 0.012 0.344 0.300
48 Al 0.403 0.101 0.395
49 Al 0.165 0.165 0.506
50 Ta 0.994 0.375 0.638
51 Ta 0.992 0.992 0.380
52 Ta 0.992 0.636 0.380
53 Ta 0.218 0.470 0.473
54 Ta 0.592 0.592 0.594
55 Al 0.858 0.858 0.051
56 Ta 0.218 0.471 0.839
57 Ta 0.750 0.750 0.751
58 Ta 0.089 0.089 0.092
59 Al 0.448 0.448 0.448
60 Ta 0.838 0.218 0.473
61 Ta 0.843 0.843 0.472
62 Al 0.922 0.233 0.236
63 Al 0.233 0.233 0.621
64 Al 0.101 0.101 0.395
65 Al 0.736 0.109 0.420
66 Al 0.419 0.737 0.108
67 Al 0.655 0.448 0.448
68 Al 0.338 0.662 0.661
69 Ta 0.997 0.626 0.998
70 Ta 0.221 0.592 0.594
71 Ta 0.843 0.468 0.846
72 Al 0.606 0.804 0.985
73 Al 0.922 0.610 0.236
74 Al 0.858 0.234 0.051
75 Al 0.986 0.604 0.607
76 Al 0.736 0.418 0.738
77 Al 0.737 0.419 0.108
78 Ta 0.471 0.471 0.839
79 Al 0.108 0.736 0.738
80 Al 0.486 0.186 0.143
81 Ta 0.380 0.997 0.998
82 Al 0.344 0.012 0.300
83 Ta 0.476 0.476 0.216
84 Al 0.736 0.108 0.738
85 Al 0.914 0.233 0.621
86 Al 0.233 0.610 0.236
87 Al 0.234 0.623 0.909
88 Al 0.604 0.804 0.607
89 Al 0.234 0.234 0.909
90 Al 0.604 0.986 0.607
91 Al 0.337 0.663 0.338
92 Al 0.418 0.736 0.738
93 Al 0.610 0.922 0.236
94 Al 0.604 0.604 0.805
95 Ta 0.375 0.994 0.638
96 Al 0.234 0.857 0.864
97 Al 0.623 0.234 0.909
98 Ta 0.833 0.476 0.216
99 Al 0.186 0.486 0.143
100 Ta 0.476 0.833 0.216
101 Al 0.986 0.804 0.607
102 Al 0.448 0.655 0.448
103 Al 0.987 0.604 0.805
104 Al 0.448 0.448 0.657
105 Ta 0.086 0.086 0.742
106 Al 0.327 0.327 0.019
107 Al 0.234 0.858 0.051
108 Al 0.857 0.234 0.864

Values from the calculation:
Magnetic moment: 0.00 μB/f.u.
E_form: -0.25 eV per atom
Volume: 16.4 A^3/atom